A geometry-optimized AlGe3As structure, computed with PBE.

Summary:
As for the energy above the most stable polymorph in this dataset: 0.0 kJ/mol of atoms. The total magnetization is 0.0 Bohr magnetons per cell.

abc: 4.864 4.864 4.864
angles: 90.00 90.00 90.00
Space group Pm-3m (No. 221)
Inequivalent atoms, fractional coordinates:
Al (0.000, 0.000, 0.000) (multiplicity 1)
Ge (0.000, 0.000, 0.500) (multiplicity 3)
As (0.500, 0.500, 0.500) (multiplicity 1)

***

A geometry-optimized Na6OF4 structure, computed with PBE.

Summary:
The total magnetization is 0.2 Bohr magnetons per cell. Its formation energy from raw total energies is -2.176 eV per atom.

abc: 10.0915 10.0915 11.9604
angles: 90.00 90.00 120.00
Space group R-3c (No. 167, hexagonal axes)
Inequivalent atoms, fractional coordinates:
Na (0.0612, 0.1932, 0.3860) (multiplicity 36)
O (0.0000, 0.0000, 0.0000) (multiplicity 6)
F (0.0000, 0.0000, 0.2500) (multiplicity 6)
F (0.0000, 0.3139, 0.2500) (multiplicity 18)

***

A geometry-optimized LaCeBi structure, computed with PBE.

Summary:
The total magnetization is 4.2 Bohr magnetons per cell. Its energy is -5.56 eV/atom.

abc: 6.510 6.510 9.259
angles: 90.00 90.05 90.00
Space group C2/m (No. 12)
Inequivalent atoms, fractional coordinates:
La (0.249, 0.000, 0.143) (multiplicity 4)
Ce (0.000, 0.250, 0.500) (multiplicity 4)
Bi (0.249, 0.500, 0.226) (multiplicity 4)

***

A geometry-optimized Zr2CrPt structure, computed with PBE.

Summary:
As for the energy above the most stable polymorph in this dataset: 32.6 kJ/mol of atoms. The total magnetization is 0.1 Bohr magnetons per cell.

abc: 3.2287 3.2287 24.6017
angles: 90.00 90.00 120.00
Space group R-3m (No. 166, hexagonal axes)
Inequivalent atoms, fractional coordinates:
Zr (0.0000, 0.0000, 0.2453) (multiplicity 6)
Cr (0.0000, 0.0000, 0.5000) (multiplicity 3)
Pt (0.0000, 0.0000, 0.0000) (multiplicity 3)

***

A geometry-optimized Ho2Si3 structure, computed with PBE.

Summary:
As for the energy above the most stable polymorph in this dataset: 0.0 kJ/mol of atoms. The total magnetization is 0.0 Bohr magnetons per cell. Its formation energy from raw total energies is -0.680 eV per atom.

abc: 3.898 5.905 8.467
angles: 90.00 90.00 90.00
Space group Immm (No. 71)
Inequivalent atoms, fractional coordinates:
Ho (0.000, 0.000, 0.221) (multiplicity 4)
Si (0.000, 0.294, 0.500) (multiplicity 4)
Si (0.000, 0.500, 0.000) (multiplicity 2)

***

A geometry-optimized Sm2ThSc structure, computed with PBE.

Summary:
As for the energy above the most stable polymorph in this dataset: 2.2 kJ/mol of atoms. The total magnetization is 0.0 Bohr magnetons per cell.

abc: 4.945 4.945 5.044
angles: 90.00 90.00 90.00
Space group P4/mmm (No. 123)
Inequivalent atoms, fractional coordinates:
Sm (0.000, 0.500, 0.000) (multiplicity 2)
Th (0.000, 0.000, 0.500) (multiplicity 1)
Sc (0.500, 0.500, 0.500) (multiplicity 1)

***

A geometry-optimized Na2Ag3Pb structure, computed with PBE.

Summary:
The total magnetization is 0.0 Bohr magnetons per cell. Its energy is -2.56 eV/atom.

abc: 10.166 5.811 5.924
angles: 90.00 125.56 90.00
Space group C2/m (No. 12)
Inequivalent atoms, fractional coordinates:
Na (0.125, 0.000, 0.376) (multiplicity 4)
Ag (0.000, 0.500, 0.500) (multiplicity 2)
Ag (0.250, 0.250, 0.000) (multiplicity 4)
Pb (0.000, 0.500, 0.000) (multiplicity 2)

***

A geometry-optimized YZnB structure, computed with PBE.

Summary:
As for the energy above the most stable polymorph in this dataset: 108.9 kJ/mol of atoms. The total magnetization is 0.0 Bohr magnetons per cell.

abc: 6.240 6.240 6.240
angles: 90.00 90.00 90.00
Space group F-43m (No. 216)
Inequivalent atoms, fractional coordinates:
Y (0.000, 0.000, 0.000) (multiplicity 4)
Zn (0.250, 0.250, 0.750) (multiplicity 4)
B (0.250, 0.250, 0.250) (multiplicity 4)

***

A geometry-optimized SrPtNO2 structure, computed with PBE.

Summary:
The total magnetization is 0.0 Bohr magnetons per cell. Its formation energy from raw total energies is -0.737 eV per atom.

abc: 4.314 4.314 3.705
angles: 90.00 90.00 90.00
Space group P4/mmm (No. 123)
Inequivalent atoms, fractional coordinates:
Sr (0.000, 0.000, 0.000) (multiplicity 1)
Pt (0.500, 0.500, 0.500) (multiplicity 1)
N (0.500, 0.500, 0.000) (multiplicity 1)
O (0.000, 0.500, 0.500) (multiplicity 2)

***

A geometry-optimized Ca2ZnIr structure, computed with PBE.

Summary:
The total magnetization is 0.0 Bohr magnetons per cell. Its energy is -3.73 eV/atom.

abc: 7.021 7.033 3.522
angles: 90.00 90.00 90.00
Space group Cmmm (No. 65)
Inequivalent atoms, fractional coordinates:
Ca (0.250, 0.250, 0.000) (multiplicity 4)
Zn (0.000, 0.000, 0.500) (multiplicity 2)
Ir (0.000, 0.500, 0.500) (multiplicity 2)

***

A geometry-optimized CaMg structure, computed with PBE.

Summary:
The total magnetization is 0.0 Bohr magnetons per cell. Its energy is -1.73 eV/atom.

abc: 3.7214 3.7214 32.9148
angles: 90.00 90.00 120.00
Space group R-3m (No. 166, hexagonal axes)
Inequivalent atoms, fractional coordinates:
Ca (0.0000, 0.0000, 0.1170) (multiplicity 6)
Mg (0.0000, 0.0000, 0.3679) (multiplicity 6)

***

A geometry-optimized BaZrRu2 structure, computed with PBE.

Summary:
As for the energy above the most stable polymorph in this dataset: 4.3 kJ/mol of atoms. The total magnetization is 0.5 Bohr magnetons per cell.

abc: 4.3386 4.3386 20.5073
angles: 90.00 90.00 120.00
Space group R3m (No. 160, hexagonal axes)
Inequivalent atoms, fractional coordinates:
Ba (0.0000, 0.0000, 0.0000) (multiplicity 3)
Zr (0.0000, 0.0000, 0.1810) (multiplicity 3)
Ru (0.0000, 0.0000, 0.4542) (multiplicity 3)
Ru (0.0000, 0.0000, 0.7877) (multiplicity 3)

***

Question: Which formula does entry 3 have?
Answer: LaCeBi